The following is a DFT calculation (PBE) of an optimized crystal structure of SrCeSm2.

Cell lengths 3.6752, 3.6752, 10.6767 Å; angles 90.00, 90.00, 90.00 degrees
Last column: nearest neighbours and their distance in Å.
Fractional positions:
Sr1 0.0000 0.0000 0.0000  4 Sr 3.68, 8 Sm 4.00
Ce1 0.0000 0.0000 0.5000  8 Sm 3.47, 4 Ce 3.68
Sm1 0.5000 0.5000 0.2850  4 Ce 3.47, 4 Sm 3.68
Sm2 0.5000 0.5000 0.7150  4 Ce 3.47, 4 Sm 3.68

Results
* calculated formation energy: 0.130 eV per atom
* crystal system: tetragonal
* energy above the most stable polymorph in this dataset: 0.000 eV/atom

***

The following is a DFT calculation (PBE) of an optimized crystal structure of Sr3CeSm2Te6.

Cell lengths 7.8796, 7.8796, 8.0805 Å; angles 99.36, 99.36, 119.96 degrees
Last column: nearest neighbours and their distance in Å.
Fractional positions:
Sr1 0.0000 0.0000 0.0000  6 Te 3.28-3.31
Sr2 0.3340 0.6660 0.0000  6 Te 3.29-3.31
Sr3 0.6660 0.3340 0.0000  6 Te 3.29-3.31
Ce1 0.5000 0.5000 0.5000  6 Te 3.21-3.22
Sm1 0.1667 0.8333 0.5000  6 Te 3.19
Sm2 0.8333 0.1667 0.5000  6 Te 3.19
Te1 0.0842 0.4204 0.2610  2 Sm 3.19, 1 Ce 3.22, 3 Sr 3.29-3.31
Te2 0.2432 0.2432 0.7382  2 Sm 3.19, 1 Ce 3.21, 3 Sr 3.28-3.30
Te3 0.4204 0.0842 0.2610  2 Sm 3.19, 1 Ce 3.22, 3 Sr 3.29-3.31
Te4 0.5796 0.9158 0.7390  2 Sm 3.19, 1 Ce 3.22, 3 Sr 3.29-3.31
Te5 0.7568 0.7568 0.2618  2 Sm 3.19, 1 Ce 3.21, 3 Sr 3.28-3.30
Te6 0.9158 0.5796 0.7390  2 Sm 3.19, 1 Ce 3.22, 3 Sr 3.29-3.31

Results
* crystal system: monoclinic
* E_form (uncorrected): -1523 meV per atom

***

The following is a DFT calculation (PBE) of an optimized crystal structure of Sr3Ce2SmTe6.

Cell lengths 10.3658, 10.3658, 9.3034 Å; angles 104.54, 104.54, 25.42 degrees
Last column: nearest neighbours and their distance in Å.
Fractional positions:
Sr1 0.0000 0.0000 0.0000  6 Te 3.29-3.32
Sr2 0.3331 0.3331 0.6659  6 Te 3.29-3.32
Sr3 0.6669 0.6669 0.3341  6 Te 3.29-3.32
Ce1 0.3331 0.3331 0.1663  6 Te 3.22-3.23
Ce2 0.6669 0.6669 0.8337  6 Te 3.22-3.23
Sm1 0.0000 0.0000 0.5000  6 Te 3.19-3.20
Te1 0.1633 0.1633 0.5869  1 Sm 3.19, 2 Ce 3.22, 3 Sr 3.29-3.32
Te2 0.1682 0.1682 0.0791  3 Ce 3.22, 3 Sr 3.29-3.30
Te3 0.4983 0.4983 0.2584  2 Sm 3.20, 1 Ce 3.23, 3 Sr 3.30-3.32
Te4 0.5017 0.5017 0.7416  2 Sm 3.20, 1 Ce 3.23, 3 Sr 3.30-3.32
Te5 0.8318 0.8318 0.9209  3 Ce 3.22, 3 Sr 3.29-3.30
Te6 0.8367 0.8367 0.4131  1 Sm 3.19, 2 Ce 3.22, 3 Sr 3.29-3.32

Results
* crystal system: monoclinic
* E_form (uncorrected): -1512 meV per atom

***

The following is a DFT calculation (PBE) of an optimized crystal structure of CeSm2Ta.

Cell lengths 3.2230, 3.2230, 35.8290 Å; angles 90.00, 90.00, 120.00 degrees
Last column: nearest neighbours and their distance in Å.
Fractional positions:
Ce1 0.0000 0.0000 0.0000  6 Ce 3.22, 6 Sm 3.55
Ce2 0.3333 0.6667 0.6667  6 Ce 3.22, 6 Sm 3.55
Ce3 0.6667 0.3333 0.3333  6 Ce 3.22, 6 Sm 3.55
Sm1 0.0000 0.0000 0.4176  1 Ta 2.95, 6 Sm 3.22
Sm2 0.0000 0.0000 0.5824  1 Ta 2.95, 6 Sm 3.22
Sm3 0.3333 0.6667 0.0843  1 Ta 2.95, 6 Sm 3.22
Sm4 0.3333 0.6667 0.2491  1 Ta 2.95, 6 Sm 3.22
Sm5 0.6667 0.3333 0.7509  1 Ta 2.95, 6 Sm 3.22
Sm6 0.6667 0.3333 0.9157  1 Ta 2.95, 6 Sm 3.22
Ta1 0.0000 0.0000 0.5000  2 Sm 2.95, 6 Ta 3.22
Ta2 0.3333 0.6667 0.1667  2 Sm 2.95, 6 Ta 3.22
Ta3 0.6667 0.3333 0.8333  2 Sm 2.95, 6 Ta 3.22

Results
* calculated formation energy: 0.631 eV per atom
* crystal system: trigonal

***

The following is a DFT calculation (PBE) of an optimized crystal structure of Tb2CeSm.

Cell lengths 23.0884, 3.4294, 6.4617 Å; angles 90.00, 94.04, 90.00 degrees
Last column: nearest neighbours and their distance in Å.
Fractional positions:
Tb1 0.1223 0.0000 0.0344  6 Tb 3.43-3.66, 4 Ce 3.53-3.59, 3 Sm 3.61-3.63
Tb2 0.1240 0.5000 0.5339  2 Ce 3.41-3.43, 6 Tb 3.43-3.66, 3 Sm 3.53-3.56
Tb3 0.3760 0.0000 0.4661  2 Ce 3.41-3.43, 6 Tb 3.43-3.66, 3 Sm 3.53-3.56
Tb4 0.3777 0.5000 0.9656  6 Tb 3.43-3.66, 4 Ce 3.53-3.59, 3 Sm 3.61-3.63
Tb5 0.6223 0.5000 0.0344  6 Tb 3.43-3.66, 4 Ce 3.53-3.59, 3 Sm 3.61-3.63
Tb6 0.6240 0.0000 0.5339  2 Ce 3.41-3.43, 6 Tb 3.43-3.66, 3 Sm 3.53-3.56
Tb7 0.8760 0.5000 0.4661  2 Ce 3.41-3.43, 6 Tb 3.43-3.66, 3 Sm 3.53-3.56
Tb8 0.8777 0.0000 0.9656  6 Tb 3.43-3.66, 4 Ce 3.53-3.59, 3 Sm 3.61-3.63
Ce1 0.0011 0.5000 0.2095  1 Ce 2.70
Ce2 0.4989 0.0000 0.7905  1 Ce 2.70
Ce3 0.5011 0.0000 0.2095  1 Ce 2.70
Ce4 0.9989 0.5000 0.7905  1 Ce 2.70
Sm1 0.2498 0.0000 0.7428  6 Sm 3.43-3.74, 6 Tb 3.53-3.63
Sm2 0.2502 0.5000 0.2572  6 Sm 3.43-3.74, 6 Tb 3.53-3.63
Sm3 0.7502 0.0000 0.2572  6 Sm 3.43-3.74, 6 Tb 3.53-3.63
Sm4 0.7498 0.5000 0.7428  6 Sm 3.43-3.74, 6 Tb 3.53-3.63

Results
* calculated formation energy: 0.115 eV per atom
* crystal system: monoclinic
* energy above the most stable polymorph in this dataset: 0.066 eV/atom

***

The following is a DFT calculation (PBE) of an optimized crystal structure of TbCe4Sm.

Cell lengths 6.3388, 6.3388, 6.3388 Å; angles 60.00, 60.00, 60.00 degrees
Last column: nearest neighbours and their distance in Å.
Fractional positions:
Tb1 0.0000 0.0000 0.0000  12 Ce 3.71, 4 Sm 3.88
Ce1 0.1160 0.6280 0.6280  6 Ce 3.09-3.25
Ce2 0.6280 0.1160 0.6280  6 Ce 3.09-3.25
Ce3 0.6280 0.6280 0.1160  6 Ce 3.09-3.25
Ce4 0.6280 0.6280 0.6280  6 Ce 3.09-3.25
Sm1 0.2500 0.2500 0.2500  12 Ce 3.72, 4 Tb 3.88

Results
* calculated formation energy: 0.206 eV per atom
* crystal system: cubic

***

The following is a DFT calculation (PBE) of an optimized crystal structure of Tb2CeSm7.

Cell lengths 10.3587, 10.3587, 3.4734 Å; angles 90.00, 90.00, 108.64 degrees
Last column: nearest neighbours and their distance in Å.
Fractional positions:
Tb1 0.1655 0.8345 0.0000  4 Sm 3.16-3.19, 2 Ce 3.28, 2 Tb 3.47
Tb2 0.8345 0.1655 0.0000  4 Sm 3.16-3.19, 2 Ce 3.28, 2 Tb 3.47
Ce1 0.0000 0.0000 0.5000  4 Tb 3.28, 2 Ce 3.47
Sm1 0.1272 0.3854 0.0000  1 Tb 3.16, 4 Sm 3.47-3.51
Sm2 0.3243 0.6757 0.5000  2 Tb 3.19, 8 Sm 3.43-3.51
Sm3 0.3854 0.1272 0.0000  1 Tb 3.16, 4 Sm 3.47-3.51
Sm4 0.5000 0.5000 0.0000  10 Sm 3.43-3.66
Sm5 0.6146 0.8728 0.0000  1 Tb 3.16, 4 Sm 3.47-3.51
Sm6 0.6757 0.3243 0.5000  2 Tb 3.19, 8 Sm 3.43-3.51
Sm7 0.8728 0.6146 0.0000  1 Tb 3.16, 4 Sm 3.47-3.51

Results
* calculated formation energy: 0.416 eV per atom
* crystal system: orthorhombic

***

The following is a DFT calculation (PBE) of an optimized crystal structure of TbCeSm2.

Cell lengths 8.0994, 8.0994, 8.0994 Å; angles 90.00, 90.00, 90.00 degrees
Last column: nearest neighbours and their distance in Å.
Fractional positions:
Tb1 0.0000 0.0000 0.0000  8 Sm 3.51
Tb2 0.0000 0.5000 0.5000  8 Sm 3.51
Tb3 0.5000 0.0000 0.5000  8 Sm 3.51
Tb4 0.5000 0.5000 0.0000  8 Sm 3.51
Ce1 0.0000 0.0000 0.5000  8 Sm 3.51
Ce2 0.0000 0.5000 0.0000  8 Sm 3.51
Ce3 0.5000 0.0000 0.0000  8 Sm 3.51
Ce4 0.5000 0.5000 0.5000  8 Sm 3.51
Sm1 0.2500 0.2500 0.2500  4 Tb 3.51, 4 Ce 3.51
Sm2 0.2500 0.2500 0.7500  4 Tb 3.51, 4 Ce 3.51
Sm3 0.2500 0.7500 0.2500  4 Tb 3.51, 4 Ce 3.51
Sm4 0.2500 0.7500 0.7500  4 Tb 3.51, 4 Ce 3.51
Sm5 0.7500 0.2500 0.2500  4 Tb 3.51, 4 Ce 3.51
Sm6 0.7500 0.2500 0.7500  4 Tb 3.51, 4 Ce 3.51
Sm7 0.7500 0.7500 0.2500  4 Tb 3.51, 4 Ce 3.51
Sm8 0.7500 0.7500 0.7500  4 Tb 3.51, 4 Ce 3.51

Results
* calculated formation energy: 0.199 eV per atom
* crystal system: cubic
* energy above the most stable polymorph in this dataset: 0.136 eV/atom

***

The following is a DFT calculation (PBE) of an optimized crystal structure of TbCe2Sm.

Cell lengths 3.3852, 3.3852, 37.0048 Å; angles 90.00, 90.00, 120.00 degrees
Last column: nearest neighbours and their distance in Å.
Fractional positions:
Tb1 0.0000 0.0000 0.0000  2 Ce 3.16, 6 Tb 3.39
Tb2 0.3333 0.6667 0.6667  2 Ce 3.16, 6 Tb 3.39
Tb3 0.6667 0.3333 0.3333  2 Ce 3.16, 6 Tb 3.39
Ce1 0.0000 0.0000 0.0853  1 Tb 3.16, 6 Ce 3.39
Ce2 0.0000 0.0000 0.9147  1 Tb 3.16, 6 Ce 3.39
Ce3 0.3333 0.6667 0.5813  1 Tb 3.16, 6 Ce 3.39
Ce4 0.3333 0.6667 0.7520  1 Tb 3.16, 6 Ce 3.39
Ce5 0.6667 0.3333 0.2480  1 Tb 3.16, 6 Ce 3.39
Ce6 0.6667 0.3333 0.4187  1 Tb 3.16, 6 Ce 3.39
Sm1 0.0000 0.0000 0.5000  6 Sm 3.39, 6 Ce 3.59
Sm2 0.3333 0.6667 0.1667  6 Sm 3.39, 6 Ce 3.59
Sm3 0.6667 0.3333 0.8333  6 Sm 3.39, 6 Ce 3.59

Results
* calculated formation energy: 0.240 eV per atom
* crystal system: trigonal
* energy above the most stable polymorph in this dataset: 0.136 eV/atom

***

The following is a DFT calculation (PBE) of an optimized crystal structure of TbCeSm2.

Cell lengths 3.5776, 3.5776, 35.0402 Å; angles 90.00, 90.00, 120.00 degrees
Last column: nearest neighbours and their distance in Å.
Fractional positions:
Tb1 0.0000 0.0000 0.0000  6 Tb 3.58, 6 Sm 3.58
Tb2 0.3333 0.6667 0.6667  6 Tb 3.58, 6 Sm 3.58
Tb3 0.6667 0.3333 0.3333  6 Tb 3.58, 6 Sm 3.58
Ce1 0.0000 0.0000 0.8337  6 Sm 3.56-3.58, 6 Ce 3.58
Ce2 0.3333 0.6667 0.5004  6 Sm 3.56-3.58, 6 Ce 3.58
Ce3 0.6667 0.3333 0.1671  6 Sm 3.56-3.58, 6 Ce 3.58
Sm1 0.0000 0.0000 0.4168  6 Sm 3.58, 3 Tb 3.58, 3 Ce 3.58
Sm2 0.0000 0.0000 0.5831  3 Ce 3.56, 6 Sm 3.58, 3 Tb 3.58
Sm3 0.3333 0.6667 0.0834  6 Sm 3.58, 3 Tb 3.58, 3 Ce 3.58
Sm4 0.3333 0.6667 0.2497  3 Ce 3.56, 6 Sm 3.58, 3 Tb 3.58
Sm5 0.6667 0.3333 0.7501  6 Sm 3.58, 3 Tb 3.58, 3 Ce 3.58
Sm6 0.6667 0.3333 0.9164  3 Ce 3.56, 6 Sm 3.58, 3 Tb 3.58

Results
* calculated formation energy: 0.063 eV per atom
* crystal system: trigonal
* energy above the most stable polymorph in this dataset: 0.000 eV/atom

***

The following is a DFT calculation (PBE) of an optimized crystal structure of Tb14CeSm.

Cell lengths 7.1318, 7.1318, 10.0746 Å; angles 90.00, 90.00, 90.00 degrees
Last column: nearest neighbours and their distance in Å.
Fractional positions:
Tb1 0.0000 0.0000 0.0000  12 Tb 3.55-3.57
Tb2 0.0000 0.5000 0.0000  12 Tb 3.56-3.57
Tb3 0.0000 0.5000 0.5000  8 Tb 3.57, 2 Sm 3.57, 2 Ce 3.57
Tb4 0.2485 0.2485 0.2498  10 Tb 3.54-3.59, 1 Ce 3.55, 1 Sm 3.58
Tb5 0.2485 0.2485 0.7502  10 Tb 3.54-3.59, 1 Ce 3.55, 1 Sm 3.58
Tb6 0.2485 0.7515 0.2498  10 Tb 3.54-3.59, 1 Ce 3.55, 1 Sm 3.58
Tb7 0.2485 0.7515 0.7502  10 Tb 3.54-3.59, 1 Ce 3.55, 1 Sm 3.58
Tb8 0.5000 0.0000 0.0000  12 Tb 3.56-3.57
Tb9 0.5000 0.0000 0.5000  8 Tb 3.57, 2 Sm 3.57, 2 Ce 3.57
Tb10 0.5000 0.5000 0.0000  12 Tb 3.57
Tb11 0.7515 0.2485 0.2498  10 Tb 3.54-3.59, 1 Ce 3.55, 1 Sm 3.58
Tb12 0.7515 0.2485 0.7502  10 Tb 3.54-3.59, 1 Ce 3.55, 1 Sm 3.58
Tb13 0.7515 0.7515 0.2498  10 Tb 3.54-3.59, 1 Ce 3.55, 1 Sm 3.58
Tb14 0.7515 0.7515 0.7502  10 Tb 3.54-3.59, 1 Ce 3.55, 1 Sm 3.58
Ce1 0.0000 0.0000 0.5000  12 Tb 3.55-3.57
Sm1 0.5000 0.5000 0.5000  12 Tb 3.57-3.58

Results
* calculated formation energy: 0.028 eV per atom
* crystal system: tetragonal

***

The following is a DFT calculation (PBE) of an optimized crystal structure of Tb4CeSm.

Cell lengths 11.4493, 3.3792, 11.4481 Å; angles 90.00, 118.23, 90.00 degrees
Last column: nearest neighbours and their distance in Å.
Fractional positions:
Tb1 0.1571 0.0000 0.3451  7 Tb 3.38-3.64, 3 Ce 3.46-3.50, 1 Sm 3.48
Tb2 0.1576 0.5000 0.8402  7 Tb 3.38-3.66, 1 Ce 3.43, 3 Sm 3.45-3.55
Tb3 0.3424 0.0000 0.1598  7 Tb 3.38-3.66, 1 Ce 3.43, 3 Sm 3.45-3.55
Tb4 0.3429 0.5000 0.6549  7 Tb 3.38-3.64, 3 Ce 3.46-3.50, 1 Sm 3.48
Tb5 0.6571 0.5000 0.3451  7 Tb 3.38-3.64, 3 Ce 3.46-3.50, 1 Sm 3.48
Tb6 0.6576 0.0000 0.8402  7 Tb 3.38-3.66, 1 Ce 3.43, 3 Sm 3.45-3.55
Tb7 0.8424 0.5000 0.1598  7 Tb 3.38-3.66, 1 Ce 3.43, 3 Sm 3.45-3.55
Tb8 0.8429 0.0000 0.6549  7 Tb 3.38-3.64, 3 Ce 3.46-3.50, 1 Sm 3.48
Ce1 0.0000 0.5000 0.5000  2 Ce 3.38, 8 Tb 3.43-3.50
Ce2 0.5000 0.0000 0.5000  2 Ce 3.38, 8 Tb 3.43-3.50
Sm1 0.0000 0.0000 0.0000  2 Sm 3.38, 8 Tb 3.45-3.55
Sm2 0.5000 0.5000 0.0000  2 Sm 3.38, 8 Tb 3.45-3.55

Results
* calculated formation energy: 0.221 eV per atom
* crystal system: monoclinic
* energy above the most stable polymorph in this dataset: 0.000 eV/atom

***

What did the third record say?
The following is a DFT calculation (PBE) of an optimized crystal structure of Sr3Ce2SmTe6.

Cell lengths 10.3658, 10.3658, 9.3034 Å; angles 104.54, 104.54, 25.42 degrees
Last column: nearest neighbours and their distance in Å.
Fractional positions:
Sr1 0.0000 0.0000 0.0000  6 Te 3.29-3.32
Sr2 0.3331 0.3331 0.6659  6 Te 3.29-3.32
Sr3 0.6669 0.6669 0.3341  6 Te 3.29-3.32
Ce1 0.3331 0.3331 0.1663  6 Te 3.22-3.23
Ce2 0.6669 0.6669 0.8337  6 Te 3.22-3.23
Sm1 0.0000 0.0000 0.5000  6 Te 3.19-3.20
Te1 0.1633 0.1633 0.5869  1 Sm 3.19, 2 Ce 3.22, 3 Sr 3.29-3.32
Te2 0.1682 0.1682 0.0791  3 Ce 3.22, 3 Sr 3.29-3.30
Te3 0.4983 0.4983 0.2584  2 Sm 3.20, 1 Ce 3.23, 3 Sr 3.30-3.32
Te4 0.5017 0.5017 0.7416  2 Sm 3.20, 1 Ce 3.23, 3 Sr 3.30-3.32
Te5 0.8318 0.8318 0.9209  3 Ce 3.22, 3 Sr 3.29-3.30
Te6 0.8367 0.8367 0.4131  1 Sm 3.19, 2 Ce 3.22, 3 Sr 3.29-3.32

Results
* crystal system: monoclinic
* E_form (uncorrected): -1512 meV per atom